(1)
The following is a PBE calculation of crystalline La2CdIn2 at its relaxed geometry, from the Alexandria database.

Properties
symmetry: P4/mbm, No. 127
ΔE to the lowest computed polymorph: 0.235 eV/atom
ΔE_f: -0.238 eV per atom

abc: 9.337 9.337 3.716
angles: 90.00 90.00 90.00
Fractional coordinates of all 10 atoms:
Cd  0.000  0.000  0.000
Cd  0.500  0.500  0.000
In  0.115  0.615  0.500
In  0.615  0.885  0.500
In  0.885  0.385  0.500
In  0.385  0.115  0.500
La  0.319  0.819  0.000
La  0.819  0.681  0.000
La  0.681  0.181  0.000
La  0.181  0.319  0.000

---

(2)
The following is a PBE calculation of crystalline AgGePO2 at its relaxed geometry, from the Alexandria database.

Properties
symmetry: P4/mmm, No. 123
ΔE to the lowest computed polymorph: 0.000 eV/atom
raw formation energy: -0.2187 eV/atom

abc: 3.651 3.651 5.478
angles: 90.00 90.00 90.00
Fractional coordinates of all 5 atoms:
P  0.000  0.000  0.500
Ge  0.000  0.000  0.000
O  0.000  0.500  0.000
O  0.500  0.000  0.000
Ag  0.500  0.500  0.500

---

(3)
The following is a PBE calculation of crystalline Nd2Cu3Pd at its relaxed geometry, from the Alexandria database.

Properties
symmetry: Pmm2, No. 25
ΔE to the lowest computed polymorph: 0.007 eV/atom
ΔE_f: -0.373 eV per atom

abc: 3.779 4.309 7.568
angles: 90.00 90.00 90.00
Fractional coordinates of all 6 atoms:
Nd  0.000  0.500  0.002
Nd  0.000  0.000  0.498
Cu  0.500  0.000  0.831
Cu  0.500  0.000  0.154
Cu  0.500  0.500  0.677
Pd  0.500  0.500  0.337

---

(4)
The following is a PBE calculation of crystalline La15Pr4Dy at its relaxed geometry, from the Alexandria database.

Properties
symmetry: P4/mmm, No. 123
ΔE_f: 0.009 eV per atom

abc: 5.246 5.246 26.353
angles: 90.00 90.00 90.00
Fractional coordinates of all 20 atoms:
La  0.500  0.500  0.000
La  0.500  0.500  0.199
La  0.500  0.500  0.400
La  0.500  0.500  0.600
La  0.500  0.500  0.801
La  0.500  0.000  0.098
La  0.500  0.000  0.299
La  0.500  0.000  0.500
La  0.500  0.000  0.701
La  0.500  0.000  0.902
La  0.000  0.500  0.098
La  0.000  0.500  0.299
La  0.000  0.500  0.500
La  0.000  0.500  0.701
La  0.000  0.500  0.902
Pr  0.000  0.000  0.199
Pr  0.000  0.000  0.400
Pr  0.000  0.000  0.600
Pr  0.000  0.000  0.801
Dy  0.000  0.000  0.000

---

(5)
The following is a PBE calculation of crystalline Pr2NpGe at its relaxed geometry, from the Alexandria database.

Properties
symmetry: R-3m, No. 166
ΔE_f: 0.332 eV per atom

abc: 3.430 3.430 11.605
angles: 81.50 81.50 60.00
Fractional coordinates of all 4 atoms:
Np  0.000  0.000  0.000
Pr  0.097  0.097  0.710
Pr  0.903  0.903  0.290
Ge  0.500  0.500  0.500

---

(6)
The following is a PBE calculation of crystalline SrZn2Mo at its relaxed geometry, from the Alexandria database.

Properties
symmetry: Pm, No. 6
ΔE to the lowest computed polymorph: 0.131 eV/atom
ΔE_f: 0.415 eV per atom

abc: 4.701 2.978 5.725
angles: 85.79 90.00 90.00
Fractional coordinates of all 4 atoms:
Mo  0.000  0.550  0.395
Sr  0.500  0.683  0.783
Zn  0.000  0.137  0.014
Zn  0.500  0.130  0.308

---

What are the density of states at the Fermi level values for these records? In order: 1.0382 0.9243 0.8602 1.7841 2.7777 0.5108 states/eV/atom.